(1)
VASP calculation (PBE-GGA) on a geometry-optimized MgTcSn3 structure.

a = 5.1719 Å, b = 5.1719 Å, c = 13.4030 Å
α = 90.00°, β = 90.00°, γ = 140.47°
Fractional positions:
1 Mg 0.0000 0.0000 0.0000
2 Mg 0.0000 0.0000 0.5000
3 Tc 0.1385 0.8615 0.7500
4 Tc 0.8615 0.1385 0.2500
5 Sn 0.2819 0.7181 0.1022
6 Sn 0.2819 0.7181 0.3978
7 Sn 0.4245 0.5755 0.7500
8 Sn 0.5755 0.4245 0.2500
9 Sn 0.7181 0.2819 0.6022
10 Sn 0.7181 0.2819 0.8978

---

(2)
VASP calculation (PBE-GGA) on a geometry-optimized HfFe3Sn structure.

a = 4.4927 Å, b = 4.4927 Å, c = 4.4927 Å
α = 90.00°, β = 90.00°, γ = 90.00°
Fractional positions:
1 Hf 0.0000 0.0000 0.0000
2 Fe 0.0000 0.0000 0.5000
3 Fe 0.0000 0.5000 0.0000
4 Fe 0.5000 0.0000 0.0000
5 Sn 0.5000 0.5000 0.5000

---

(3)
VASP calculation (PBE-GGA) on a geometry-optimized Tb2ZnCuSi2 structure.

a = 4.0407 Å, b = 4.0954 Å, c = 7.0852 Å
α = 90.00°, β = 90.00°, γ = 90.00°
Fractional positions:
1 Tb 0.0000 0.0000 0.0000
2 Tb 0.0000 0.5000 0.4910
3 Zn 0.5000 0.5000 0.8298
4 Cu 0.5000 0.0000 0.3262
5 Si 0.5000 0.0000 0.6550
6 Si 0.5000 0.5000 0.1682

---

(4)
VASP calculation (PBE-GGA) on a geometry-optimized Ca2InRh structure.

a = 4.8459 Å, b = 4.8459 Å, c = 4.0558 Å
α = 90.00°, β = 90.00°, γ = 90.19°
Fractional positions:
1 Ca 0.0000 0.5000 0.0000
2 Ca 0.5000 0.0000 0.0000
3 In 0.0000 0.0000 0.5000
4 Rh 0.5000 0.5000 0.5000

---

(5)
VASP calculation (PBE-GGA) on a geometry-optimized MgGaPd6 structure.

a = 4.7119 Å, b = 4.7119 Å, c = 7.1985 Å
α = 107.54°, β = 107.54°, γ = 69.52°
Fractional positions:
1 Mg 0.0000 0.0000 0.0000
2 Ga 0.5000 0.5000 0.5000
3 Pd 0.0552 0.5683 0.2026
4 Pd 0.1517 0.1517 0.4389
5 Pd 0.4317 0.9448 0.7974
6 Pd 0.5683 0.0552 0.2026
7 Pd 0.8483 0.8483 0.5611
8 Pd 0.9448 0.4317 0.7974

---

(6)
VASP calculation (PBE-GGA) on a geometry-optimized KRb2NbTe4 structure.

a = 7.6575 Å, b = 7.6575 Å, c = 7.6575 Å
α = 108.50°, β = 108.50°, γ = 111.44°
Fractional positions:
1 K 0.0000 0.0000 0.0000
2 Rb 0.0000 0.5000 0.5000
3 Rb 0.5000 0.0000 0.5000
4 Nb 0.5000 0.5000 0.0000
5 Te 0.1515 0.1515 0.6592
6 Te 0.4923 0.4923 0.3408
7 Te 0.5077 0.8485 0.0000
8 Te 0.8485 0.5077 0.0000

---

Looking at calculated total energy for the records above, in order, we have -47.8, -32.7, -29.3, -15.3, -37.6, -32.0 eV/cell.
Looking at total moment for the records above, in order, we have 0.0, 5.6, 0.0, 0.0, 0.0, 0.0 μB per formula unit.